Record 1
KBaTaN3 after structural relaxation. Source: Alexandria, functional PBE.

Results
Volume   20.23 A^3/atom
Raw total energy   -7.2493 eV/atom
M_tot   0.96 μB per formula unit

a b c (Å): 7.308 7.308 5.811
angles (deg): 90.28 90.28 128.53
Atoms (fractional coordinates):
K  0.232  0.768  0.750
K  0.768  0.232  0.250
Ba  0.405  0.595  0.250
Ba  0.595  0.405  0.750
Ta  0.052  0.948  0.250
Ta  0.948  0.052  0.750
N  0.197  0.803  0.250
N  0.208  0.211  0.500
N  0.211  0.208  0.000
N  0.789  0.792  0.000
N  0.792  0.789  0.500
N  0.803  0.197  0.750

---

Record 2
Mg2VB2Ru5 after structural relaxation. Source: Alexandria, functional PBE.

Results
Volume   12.96 A^3/atom
Raw total energy   -7.4287 eV/atom
M_tot   0.00 μB per formula unit

a b c (Å): 9.388 9.388 2.941
angles (deg): 90.00 90.00 90.00
Atoms (fractional coordinates):
Mg  0.177  0.323  0.000
Mg  0.323  0.823  0.000
Mg  0.677  0.177  0.000
Mg  0.823  0.677  0.000
V  0.000  0.000  0.000
V  0.500  0.500  0.000
B  0.124  0.624  0.000
B  0.376  0.124  0.000
B  0.624  0.876  0.000
B  0.876  0.376  0.000
Ru  0.000  0.500  0.500
Ru  0.069  0.788  0.500
Ru  0.212  0.069  0.500
Ru  0.288  0.569  0.500
Ru  0.431  0.288  0.500
Ru  0.500  0.000  0.500
Ru  0.569  0.712  0.500
Ru  0.712  0.431  0.500
Ru  0.788  0.931  0.500
Ru  0.931  0.212  0.500

---

Record 3
InNi after structural relaxation. Source: Alexandria, functional PBE.

Results
Volume   16.51 A^3/atom
Raw total energy   -4.3986 eV/atom
M_tot   0.00 μB per formula unit

a b c (Å): 4.339 6.703 6.780
angles (deg): 64.82 71.38 71.26
Atoms (fractional coordinates):
In  0.000  0.000  0.000
In  0.128  0.488  0.256
In  0.349  0.948  0.353
In  0.651  0.052  0.647
In  0.872  0.512  0.744
Ni  0.245  0.725  0.785
Ni  0.390  0.274  0.946
Ni  0.500  0.500  0.500
Ni  0.610  0.726  0.054
Ni  0.755  0.275  0.215

---

Record 4
CaPm3Sm2Te6 after structural relaxation. Source: Alexandria, functional PBE.

Results
Volume   31.44 A^3/atom
Raw total energy   -5.1480 eV/atom
M_tot   0.00 μB per formula unit

a b c (Å): 9.987 9.987 8.960
angles (deg): 103.14 103.14 25.73
Atoms (fractional coordinates):
Ca  0.000  0.000  0.000
Pm  0.000  0.000  0.500
Pm  0.332  0.332  0.173
Pm  0.668  0.668  0.827
Sm  0.329  0.329  0.659
Sm  0.671  0.671  0.341
Te  0.165  0.165  0.082
Te  0.165  0.165  0.581
Te  0.498  0.498  0.753
Te  0.502  0.502  0.247
Te  0.835  0.835  0.419
Te  0.835  0.835  0.918

---

Record 5
La5In2AgRh2 after structural relaxation. Source: Alexandria, functional PBE.

Results
Volume   28.48 A^3/atom
Raw total energy   -5.3172 eV/atom
M_tot   0.00 μB per formula unit

a b c (Å): 12.169 12.169 3.846
angles (deg): 90.00 90.00 90.00
Atoms (fractional coordinates):
La  0.000  0.500  0.000
La  0.069  0.207  0.000
La  0.207  0.931  0.000
La  0.293  0.431  0.000
La  0.431  0.707  0.000
La  0.500  0.000  0.000
La  0.569  0.293  0.000
La  0.707  0.569  0.000
La  0.793  0.069  0.000
La  0.931  0.793  0.000
In  0.181  0.681  0.500
In  0.319  0.181  0.500
In  0.681  0.819  0.500
In  0.819  0.319  0.500
Ag  0.000  0.000  0.500
Ag  0.500  0.500  0.500
Rh  0.136  0.364  0.500
Rh  0.364  0.864  0.500
Rh  0.636  0.136  0.500
Rh  0.864  0.636  0.500

---

Record 6
NpNb2Tl2Se6 after structural relaxation. Source: Alexandria, functional PBE.

Results
Volume   27.59 A^3/atom
Raw total energy   -6.0895 eV/atom
M_tot   4.00 μB per formula unit

a b c (Å): 6.478 6.478 8.271
angles (deg): 95.61 95.61 117.11
Atoms (fractional coordinates):
Np  0.000  0.000  0.000
Nb  0.363  0.637  0.000
Nb  0.637  0.363  0.000
Tl  0.173  0.827  0.500
Tl  0.827  0.173  0.500
Se  0.051  0.411  0.187
Se  0.286  0.286  0.781
Se  0.411  0.051  0.187
Se  0.589  0.949  0.813
Se  0.714  0.714  0.219
Se  0.949  0.589  0.813